Record 1
# KNa2BiF6 | the Alexandria database | PBE | optimized geometry
# calculated volume	17.03	Å³/atom
# crystal system	trigonal
data_KNa2BiF6
_cell_length_a 6.134
_cell_length_b 6.134
_cell_length_c 6.314
_cell_angle_alpha 60.93
_cell_angle_beta 60.93
_cell_angle_gamma 59.99
_symmetry_space_group_name_H-M 'P 1'
_symmetry_Int_Tables_number 1
loop_
_symmetry_equiv_pos_as_xyz
'x,y,z'
loop_
_atom_site_label
_atom_site_fract_x
_atom_site_fract_y
_atom_site_fract_z
Na1 0.015 0.015 0.954
Na2 0.527 0.527 0.420
F1 0.620 0.247 0.222
F2 0.697 0.172 0.768
F3 0.172 0.363 0.768
F4 0.911 0.620 0.222
F5 0.363 0.697 0.768
F6 0.246 0.911 0.222
K1 0.798 0.798 0.605
Bi1 0.312 0.312 0.064

---

Record 2
# K2NaBiF6 | the Alexandria database | PBE | optimized geometry
# calculated volume	18.57	Å³/atom
# crystal system	cubic
data_K2NaBiF6
_cell_length_a 6.405
_cell_length_b 6.403
_cell_length_c 6.403
_cell_angle_alpha 59.98
_cell_angle_beta 59.99
_cell_angle_gamma 59.99
_symmetry_space_group_name_H-M 'P 1'
_symmetry_Int_Tables_number 1
loop_
_symmetry_equiv_pos_as_xyz
'x,y,z'
loop_
_atom_site_label
_atom_site_fract_x
_atom_site_fract_y
_atom_site_fract_z
F1 0.250 0.750 0.250
F2 0.750 0.750 0.250
F3 0.250 0.750 0.750
F4 0.750 0.250 0.750
F5 0.750 0.250 0.250
F6 0.250 0.250 0.750
K1 0.250 0.250 0.250
K2 0.750 0.750 0.750
Bi1 0.000 0.000 0.000
Na1 0.500 0.500 0.500

---

Number 1: Fermi-level density of states 0.000 states/eV per cell, final energy -4.55 eV per atom. Number 2: Fermi-level density of states 0.000 states/eV per cell, final energy -4.51 eV per atom.